A geometry-optimized Mg6TlCd structure. Source: OQMD, functional PBE.

Cell lengths 6.3093, 6.3093, 5.2052 Å; angles 90.00, 90.00, 120.00 degrees
With the nearest neighbours (Å) after each atom.
Space group P-6m2 (No. 187)
Symmetry-distinct sites (fractional):
Mg 0.1678 0.3355 0.0000 (multiplicity 3)  8 Mg 3.13-3.18, 2 Tl 3.15, 2 Cd 3.17
Mg 0.3298 0.1649 0.5000 (multiplicity 3)  8 Mg 3.12-3.19, 2 Cd 3.15, 2 Tl 3.19
Tl 0.6667 0.3333 0.0000 (multiplicity 1)  12 Mg 3.15-3.19
Cd 0.3333 0.6667 0.5000 (multiplicity 1)  12 Mg 3.15-3.17

Computed properties:
relative energy among the computed polymorphs: 0 meV/atom
total DFT energy (no corrections): -1.621 eV/atom

***

A geometry-optimized PmSmBi structure. Source: OQMD, functional PBE.

Cell lengths 7.4812, 7.4812, 7.4812 Å; angles 90.00, 90.00, 90.00 degrees
With the nearest neighbours (Å) after each atom.
Space group F-43m (No. 216)
Symmetry-distinct sites (fractional):
Pm 0.0000 0.0000 0.0000 (multiplicity 4)  4 Bi 3.24
Sm 0.0000 0.0000 0.5000 (multiplicity 4)  4 Bi 3.24
Bi 0.2500 0.2500 0.2500 (multiplicity 4)  4 Pm 3.24, 4 Sm 3.24

Computed properties:
relative energy among the computed polymorphs: 0 meV/atom
total DFT energy (no corrections): -4.925 eV/atom

***

A geometry-optimized ErPuCu structure. Source: OQMD, functional PBE.

Cell lengths 6.6014, 6.6014, 6.6014 Å; angles 90.00, 90.00, 90.00 degrees
With the nearest neighbours (Å) after each atom.
Space group F-43m (No. 216)
Symmetry-distinct sites (fractional):
Er 0.0000 0.0000 0.0000 (multiplicity 4)  4 Cu 2.86
Pu 0.0000 0.0000 0.5000 (multiplicity 4)  4 Cu 2.86
Cu 0.2500 0.2500 0.2500 (multiplicity 4)  4 Er 2.86, 4 Pu 2.86

Computed properties:
total DFT energy (no corrections): -7.229 eV/atom
energy relative to the elements: 240 meV/atom

***

A geometry-optimized HoIn structure. Source: OQMD, functional PBE.

Cell lengths 6.1943, 6.1943, 6.1943 Å; angles 90.00, 90.00, 90.00 degrees
With the nearest neighbours (Å) after each atom.
Space group Fm-3m (No. 225)
Symmetry-distinct sites (fractional):
Ho 0.0000 0.0000 0.0000 (multiplicity 4)  6 In 3.10
In 0.0000 0.0000 0.5000 (multiplicity 4)  6 Ho 3.10

Computed properties:
total DFT energy (no corrections): -3.716 eV/atom